--- one ---
Below is an optimized crystal structure of SiGeSe2N, with properties calculated at the GGA-PBE level.

Cell: 5.2438 5.2438 3.2748 Å, 90.00 90.00 90.00°
Fractional coordinates of all 5 atoms:
1 Ge 0.5000 0.5000 0.5000
2 Si 0.0000 0.0000 0.0000
3 Se 0.0000 0.5000 0.0000
4 Se 0.5000 0.0000 0.0000
5 N 0.0000 0.0000 0.5000

Computed properties:
space-group type	P4/mmm (123)
spin magnetization	0.0	μB per formula unit

--- two ---
Below is an optimized crystal structure of SiGeSe2N, with properties calculated at the GGA-PBE level.

Cell: 5.1764 5.1764 3.5542 Å, 90.00 90.00 90.00°
Fractional coordinates of all 5 atoms:
1 Ge 0.0000 0.0000 0.0000
2 Si 0.5000 0.5000 0.5000
3 Se 0.0000 0.5000 0.0000
4 Se 0.5000 0.0000 0.0000
5 N 0.0000 0.0000 0.5000

Computed properties:
space-group type	P4/mmm (123)
spin magnetization	0.0	μB per formula unit

It is one that is most stable; the runner-up trails by 591 meV per atom.

--- one ---
Below is an optimized crystal structure of TaGeSeN2, with properties calculated at the GGA-PBE level.

Cell: 4.0247 4.0247 5.3827 Å, 90.00 90.00 90.00°
Fractional coordinates of all 5 atoms:
1 Ge 0.5000 0.5000 0.5000
2 N 0.0000 0.5000 0.0000
3 N 0.5000 0.0000 0.0000
4 Se 0.0000 0.0000 0.5000
5 Ta 0.0000 0.0000 0.0000

Computed properties:
space-group type	P4/mmm (123)
spin magnetization	0.0	μB per formula unit

--- two ---
Below is an optimized crystal structure of TaGeSeN2, with properties calculated at the GGA-PBE level.

Cell: 3.8191 3.8191 4.8815 Å, 90.00 90.00 90.00°
Fractional coordinates of all 5 atoms:
1 Ge 0.0000 0.0000 0.0000
2 N 0.0000 0.5000 0.0000
3 N 0.5000 0.0000 0.0000
4 Se 0.0000 0.0000 0.5000
5 Ta 0.5000 0.5000 0.5000

Computed properties:
space-group type	P4/mmm (123)
spin magnetization	0.0	μB per formula unit

It is one that is most stable; the runner-up trails by 1068 meV per atom.

--- one ---
Below is an optimized crystal structure of TaGeSe2N, with properties calculated at the GGA-PBE level.

Cell: 5.1008 5.1008 3.4727 Å, 90.00 90.00 90.00°
Last column: magnetic moment on the atom in μB.
Fractional coordinates of all 5 atoms:
1 Ge 0.0000 0.0000 0.0000  0.03
2 N 0.0000 0.0000 0.5000  -0.04
3 Se 0.0000 0.5000 0.0000  -0.06
4 Se 0.5000 0.0000 0.0000  -0.06
5 Ta 0.5000 0.5000 0.5000  0.93

Computed properties:
space-group type	P4/mmm (123)
spin magnetization	1.2	μB per formula unit

--- two ---
Below is an optimized crystal structure of TaGeSe2N, with properties calculated at the GGA-PBE level.

Cell: 5.1894 5.1894 3.8897 Å, 90.00 90.00 90.00°
Fractional coordinates of all 5 atoms:
1 Ge 0.5000 0.5000 0.5000
2 N 0.0000 0.0000 0.5000
3 Se 0.0000 0.5000 0.0000
4 Se 0.5000 0.0000 0.0000
5 Ta 0.0000 0.0000 0.0000

Computed properties:
space-group type	P4/mmm (123)
spin magnetization	0.0	μB per formula unit

It is two that is most stable; the runner-up trails by 896 meV per atom.

--- one ---
Below is an optimized crystal structure of VGeSeN2, with properties calculated at the GGA-PBE level.

Cell: 3.8022 3.8022 5.2059 Å, 90.00 90.00 90.00°
Fractional coordinates of all 5 atoms:
1 Ge 0.5000 0.5000 0.5000
2 N 0.0000 0.5000 0.0000
3 N 0.5000 0.0000 0.0000
4 Se 0.0000 0.0000 0.5000
5 V 0.0000 0.0000 0.0000

Computed properties:
space-group type	P4/mmm (123)
spin magnetization	0.0	μB per formula unit

--- two ---
Below is an optimized crystal structure of VGeSeN2, with properties calculated at the GGA-PBE level.

Cell: 3.7017 3.7017 5.4459 Å, 90.00 90.00 90.00°
Last column: magnetic moment on the atom in μB.
Fractional coordinates of all 5 atoms:
1 Ge 0.0000 0.0000 0.0000  -0.02
2 N 0.0000 0.5000 0.0000  0.24
3 N 0.5000 0.0000 0.0000  0.24
4 Se 0.0000 0.0000 0.5000  0.03
5 V 0.5000 0.5000 0.5000  0.20

Computed properties:
space-group type	P4/mmm (123)
spin magnetization	0.9	μB per formula unit

It is one that is most stable; the runner-up trails by 866 meV per atom.

--- one ---
Below is an optimized crystal structure of VGeSe2N, with properties calculated at the GGA-PBE level.

Cell: 5.0957 5.0957 3.5380 Å, 90.00 90.00 90.00°
Last column: magnetic moment on the atom in μB.
Fractional coordinates of all 5 atoms:
1 Ge 0.0000 0.0000 0.0000  -0.01
2 N 0.0000 0.0000 0.5000  0.23
3 Se 0.0000 0.5000 0.0000  0.05
4 Se 0.5000 0.0000 0.0000  0.05
5 V 0.5000 0.5000 0.5000  -0.11

Computed properties:
space-group type	P4/mmm (123)
spin magnetization	0.3	μB per formula unit

--- two ---
Below is an optimized crystal structure of VGeSe2N, with properties calculated at the GGA-PBE level.

Cell: 5.0298 5.0298 3.6267 Å, 90.00 90.00 90.00°
Last column: magnetic moment on the atom in μB.
Fractional coordinates of all 5 atoms:
1 Ge 0.5000 0.5000 0.5000  0.01
2 N 0.0000 0.0000 0.5000  -0.04
3 Se 0.0000 0.5000 0.0000  -0.02
4 Se 0.5000 0.0000 0.0000  -0.02
5 V 0.0000 0.0000 0.0000  0.22

Computed properties:
space-group type	P4/mmm (123)
spin magnetization	0.2	μB per formula unit

It is two that is most stable; the runner-up trails by 847 meV per atom.

--- one ---
Below is an optimized crystal structure of GeWSe2N, with properties calculated at the GGA-PBE level.

Cell: 5.0994 5.0994 3.8151 Å, 90.00 90.00 90.00°
Fractional coordinates of all 5 atoms:
1 Ge 0.5000 0.5000 0.5000
2 Se 0.0000 0.5000 0.0000
3 Se 0.5000 0.0000 0.0000
4 W 0.0000 0.0000 0.0000
5 N 0.0000 0.0000 0.5000

Computed properties:
space-group type	P4/mmm (123)
spin magnetization	0.0	μB per formula unit

--- two ---
Below is an optimized crystal structure of GeWSe2N, with properties calculated at the GGA-PBE level.

Cell: 5.1133 5.1133 3.4539 Å, 90.00 90.00 90.00°
Last column: magnetic moment on the atom in μB.
Fractional coordinates of all 5 atoms:
1 Ge 0.0000 0.0000 0.0000  0.02
2 Se 0.0000 0.5000 0.0000  -0.11
3 Se 0.5000 0.0000 0.0000  -0.11
4 W 0.5000 0.5000 0.5000  2.16
5 N 0.0000 0.0000 0.5000  0.07

Computed properties:
space-group type	P4/mmm (123)
spin magnetization	2.7	μB per formula unit

It is one that is most stable; the runner-up trails by 1004 meV per atom.

--- one ---
Below is an optimized crystal structure of GeWSeN2, with properties calculated at the GGA-PBE level.

Cell: 3.7616 3.7616 5.0024 Å, 90.00 90.00 90.00°
Fractional coordinates of all 5 atoms:
1 Ge 0.0000 0.0000 0.0000
2 Se 0.0000 0.0000 0.5000
3 W 0.5000 0.5000 0.5000
4 N 0.0000 0.5000 0.0000
5 N 0.5000 0.0000 0.0000

Computed properties:
space-group type	P4/mmm (123)
spin magnetization	0.0	μB per formula unit

--- two ---
Below is an optimized crystal structure of GeWSeN2, with properties calculated at the GGA-PBE level.

Cell: 3.9462 3.9462 5.2629 Å, 90.00 90.00 90.00°
Fractional coordinates of all 5 atoms:
1 Ge 0.5000 0.5000 0.5000
2 Se 0.0000 0.0000 0.5000
3 W 0.0000 0.0000 0.0000
4 N 0.0000 0.5000 0.0000
5 N 0.5000 0.0000 0.0000

Computed properties:
space-group type	P4/mmm (123)
spin magnetization	0.0	μB per formula unit

It is two that is most stable; the runner-up trails by 1336 meV per atom.

--- one ---
Below is an optimized crystal structure of YGeSe2N, with properties calculated at the GGA-PBE level.

Cell: 5.1531 5.1531 3.6922 Å, 90.00 90.00 90.00°
Fractional coordinates of all 5 atoms:
1 Y 0.5000 0.5000 0.5000
2 Ge 0.0000 0.0000 0.0000
3 Se 0.0000 0.5000 0.0000
4 Se 0.5000 0.0000 0.0000
5 N 0.0000 0.0000 0.5000

Computed properties:
space-group type	P4/mmm (123)
spin magnetization	0.0	μB per formula unit

--- two ---
Below is an optimized crystal structure of YGeSe2N, with properties calculated at the GGA-PBE level.

Cell: 5.5184 5.5184 4.3647 Å, 90.00 90.00 90.00°
Last column: magnetic moment on the atom in μB.
Fractional coordinates of all 5 atoms:
1 Y 0.0000 0.0000 0.0000  0.03
2 Ge 0.5000 0.5000 0.5000  -0.02
3 Se 0.0000 0.5000 0.0000  0.15
4 Se 0.5000 0.0000 0.0000  0.15
5 N 0.0000 0.0000 0.5000  1.09

Computed properties:
space-group type	P4/mmm (123)
spin magnetization	2.0	μB per formula unit

It is one that is most stable; the runner-up trails by 405 meV per atom.

--- one ---
Below is an optimized crystal structure of ZrGeSe2N, with properties calculated at the GGA-PBE level.

Cell: 5.3542 4.0356 5.3542 Å, 90.00 90.00 90.00°
Last column: magnetic moment on the atom in μB.
Fractional coordinates of all 5 atoms:
1 Ge 0.5000 0.5000 0.5000  -0.01
2 Se 0.0000 0.0000 0.5000  0.07
3 Se 0.5000 0.0000 0.0000  0.10
4 Zr 0.0000 0.0000 0.0000  -0.02
5 N 0.0000 0.5000 0.0000  0.41

Computed properties:
space-group type	P4/mmm (123)
spin magnetization	0.8	μB per formula unit

--- two ---
Below is an optimized crystal structure of ZrGeSe2N, with properties calculated at the GGA-PBE level.

Cell: 5.1133 5.1133 3.5590 Å, 90.00 90.00 90.00°
Fractional coordinates of all 5 atoms:
1 Ge 0.0000 0.0000 0.0000
2 Se 0.0000 0.5000 0.0000
3 Se 0.5000 0.0000 0.0000
4 Zr 0.5000 0.5000 0.5000
5 N 0.0000 0.0000 0.5000

Computed properties:
space-group type	P4/mmm (123)
spin magnetization	0.0	μB per formula unit

It is one that is most stable; the runner-up trails by 282 meV per atom.

--- one ---
Below is an optimized crystal structure of SiGeTe2N, with properties calculated at the GGA-PBE level.

Cell: 5.6837 5.6837 3.5040 Å, 90.00 90.00 90.00°
Fractional coordinates of all 5 atoms:
1 Ge 0.0000 0.0000 0.0000
2 Te 0.0000 0.5000 0.0000
3 Te 0.5000 0.0000 0.0000
4 Si 0.5000 0.5000 0.5000
5 N 0.0000 0.0000 0.5000

Computed properties:
space-group type	P4/mmm (123)
spin magnetization	0.0	μB per formula unit

--- two ---
Below is an optimized crystal structure of SiGeTe2N, with properties calculated at the GGA-PBE level.

Cell: 4.9570 4.2416 4.9570 Å, 90.00 90.00 90.00°
Fractional coordinates of all 5 atoms:
1 Ge 0.0000 0.5000 0.0000
2 Te 0.0000 0.0000 0.5000
3 Te 0.5000 0.0000 0.0000
4 Si 0.5000 0.5000 0.5000
5 N 0.0000 0.0000 0.0000

Computed properties:
space-group type	P4/mmm (123)
spin magnetization	0.0	μB per formula unit

--- three ---
Below is an optimized crystal structure of SiGeTe2N, with properties calculated at the GGA-PBE level.

Cell: 5.6982 5.6982 3.2933 Å, 90.00 90.00 90.00°
Fractional coordinates of all 5 atoms:
1 Ge 0.5000 0.5000 0.5000
2 Te 0.0000 0.5000 0.0000
3 Te 0.5000 0.0000 0.0000
4 Si 0.0000 0.0000 0.0000
5 N 0.0000 0.0000 0.5000

Computed properties:
space-group type	P4/mmm (123)
spin magnetization	0.0	μB per formula unit

It is three that is most stable; the runner-up trails by 558 meV per atom.

--- one ---
Below is an optimized crystal structure of SiGeTeN2, with properties calculated at the GGA-PBE level.

Cell: 3.7742 3.7742 6.6693 Å, 90.00 90.00 90.00°
Fractional coordinates of all 5 atoms:
1 Ge 0.0000 0.0000 0.0000
2 Te 0.0000 0.0000 0.5000
3 Si 0.5000 0.5000 0.5000
4 N 0.0000 0.5000 0.0000
5 N 0.5000 0.0000 0.0000

Computed properties:
space-group type	P4/mmm (123)
spin magnetization	0.0	μB per formula unit

--- two ---
Below is an optimized crystal structure of SiGeTeN2, with properties calculated at the GGA-PBE level.

Cell: 3.6691 3.6691 6.2984 Å, 90.00 90.00 90.00°
Last column: magnetic moment on the atom in μB.
Fractional coordinates of all 5 atoms:
1 Ge 0.5000 0.5000 0.5000  0.00
2 Te 0.0000 0.0000 0.5000  0.00
3 Si 0.0000 0.0000 0.0000  0.00
4 N 0.0000 0.5000 0.0000  0.10
5 N 0.5000 0.0000 0.0000  0.10

Computed properties:
space-group type	P4/mmm (123)
spin magnetization	0.3	μB per formula unit

It is two that is most stable; the runner-up trails by 474 meV per atom.

--- one ---
Below is an optimized crystal structure of TiSi2GeN, with properties calculated at the GGA-PBE level.

Cell: 4.5440 4.8671 4.5440 Å, 90.00 90.00 90.00°
Last column: magnetic moment on the atom in μB.
Fractional coordinates of all 5 atoms:
1 Ge 0.0000 0.0000 0.0000  0.00
2 N 0.5000 0.5000 0.5000  0.58
3 Si 0.0000 0.0000 0.5000  -0.01
4 Si 0.5000 0.0000 0.0000  -0.01
5 Ti 0.0000 0.5000 0.0000  0.36

Computed properties:
space-group type	P4/mmm (123)
spin magnetization	1.2	μB per formula unit

--- two ---
Below is an optimized crystal structure of TiSi2GeN, with properties calculated at the GGA-PBE level.

Cell: 4.8125 4.9118 4.8125 Å, 90.00 90.00 90.00°
Last column: magnetic moment on the atom in μB.
Fractional coordinates of all 5 atoms:
1 Ge 0.0000 0.5000 0.0000  0.03
2 N 0.5000 0.5000 0.5000  1.72
3 Si 0.0000 0.0000 0.5000  0.03
4 Si 0.5000 0.0000 0.0000  0.03
5 Ti 0.0000 0.0000 0.0000  0.22

Computed properties:
space-group type	P4/mmm (123)
spin magnetization	3.0	μB per formula unit

It is two that is most stable; the runner-up trails by 294 meV per atom.

--- one ---
Below is an optimized crystal structure of Sm6Ge2N, with properties calculated at the GGA-PBE level.

Cell: 6.5842 6.5842 12.2004 Å, 90.00 90.00 90.00°
Fractional coordinates of all 18 atoms:
1 Sm 0.3078 0.3078 0.3564
2 Sm 0.6922 0.6922 0.3564
3 Sm 0.1922 0.8078 0.8564
4 Sm 0.8078 0.1922 0.8564
5 Sm 0.1922 0.8078 0.1436
6 Sm 0.8078 0.1922 0.1436
7 Sm 0.3078 0.3078 0.6436
8 Sm 0.6922 0.6922 0.6436
9 Sm 0.2762 0.2762 0.0000
10 Sm 0.7238 0.7238 0.0000
11 Sm 0.2238 0.7762 0.5000
12 Sm 0.7762 0.2238 0.5000
13 Ge 0.0000 0.0000 0.3299
14 Ge 0.5000 0.5000 0.8299
15 Ge 0.5000 0.5000 0.1701
16 Ge 0.0000 0.0000 0.6701
17 N 0.0000 0.0000 0.0000
18 N 0.5000 0.5000 0.5000

Computed properties:
space-group type	P4_2/mnm (136)
spin magnetization	0.3	μB per formula unit

--- two ---
Below is an optimized crystal structure of Sm6Ge2N, with properties calculated at the GGA-PBE level.

Cell: 6.3941 7.8502 9.4805 Å, 90.00 88.15 90.00°
Fractional coordinates of all 18 atoms:
1 Sm 0.1202 0.0330 0.2495
2 Sm 0.1382 0.2906 0.5558
3 Sm 0.1727 0.3393 0.9462
4 Sm 0.3273 0.8393 0.5538
5 Sm 0.3618 0.7906 0.9442
6 Sm 0.3798 0.5330 0.2505
7 Sm 0.8798 0.9670 0.7505
8 Sm 0.8618 0.7094 0.4442
9 Sm 0.8273 0.6607 0.0538
10 Sm 0.6727 0.1607 0.4462
11 Sm 0.6382 0.2094 0.0558
12 Sm 0.6202 0.4670 0.7495
13 Ge 0.0652 0.6132 0.7437
14 Ge 0.4348 0.1132 0.7563
15 Ge 0.5652 0.8868 0.2437
16 Ge 0.9348 0.3868 0.2563
17 N 0.5000 0.5000 0.0000
18 N 0.0000 0.0000 0.5000

Computed properties:
space-group type	P2_1/c (14)
spin magnetization	0.5	μB per formula unit

It is two that is most stable; the runner-up trails by 194 meV per atom.